First-principles (PBE) data for a relaxed structure of Ta6Re5Os, as listed in Alexandria via LeMat-Bulk.

Cell: 4.521 13.557 6.408 Å, 90.00 90.00 90.00°
Space group Cmmm (No. 65)
Asymmetric unit:
Ta: 0.000 0.000 0.248
Ta: 0.000 0.333 0.249
Re: 0.000 0.166 0.000
Re: 0.000 0.166 0.500
Re: 0.000 0.500 0.000
Os: 0.000 0.500 0.500

## Properties
E_form	-0.4125	eV/atom
total magnetization	0.000	μB/atom
calculated volume	393	Å³ per cell